Density functional theory data (PBE) for CsNaAlPb2 after structural relaxation.

Unit cell a=5.7117 b=6.1605 c=5.7117 alpha=90.00 beta=90.00 gamma=90.00
Element x y z (fractional)
Pb  0.5000  0.0000  0.0000
Pb  0.0000  0.0000  0.5000
Cs  0.0000  0.5000  0.0000
Al  0.5000  0.5000  0.5000
Na  0.0000  0.0000  0.0000

Calculated values
- Mass density: 4.935 g/cm3
- Fermi-level density of states: 4.1 states/eV/cell
- Electronic total energy: -2.069 eV per atom
- Formation energy: 0.597 eV/atom

Density functional theory data (PBE) for CsNa2AlSe after structural relaxation.

Unit cell a=5.6379 b=6.2159 c=5.6379 alpha=90.00 beta=90.00 gamma=90.00
Element x y z (fractional)
Na  0.0000  0.0000  0.5000
Na  0.5000  0.0000  0.0000
Al  0.0000  0.5000  0.0000
Cs  0.5000  0.5000  0.5000
Se  0.0000  0.0000  0.0000

Calculated values
- Mass density: 2.394 g/cm3
- Formation energy from raw total energies: -0.1190 eV/atom
- Fermi-level density of states: 3.5 states/eV/cell
- Electronic total energy: -2.263 eV per atom

Density functional theory data (PBE) for Cs2Na4AlSn2 after structural relaxation.

Unit cell a=5.6573 b=8.7366 c=8.7366 alpha=57.44 beta=73.21 gamma=73.21
Element x y z (fractional)
Cs  0.6481  0.3678  0.3678
Cs  0.3519  0.6322  0.6322
Al  0.5000  0.0000  0.0000
Na  0.8517  0.3291  0.9377
Na  0.8517  0.9377  0.3291
Na  0.1483  0.6709  0.0623
Na  0.1483  0.0623  0.6709
Sn  0.3072  0.1816  0.1816
Sn  0.6928  0.8184  0.8184

Calculated values
- Mass density: 3.007 g/cm3
- Fermi-level density of states: 2.1 states/eV/cell
- Electronic total energy: -2.128 eV per atom
- Formation energy: -0.047 eV/atom

Density functional theory data (PBE) for CsNaAl2Tl after structural relaxation.

Unit cell a=5.6038 b=5.6038 c=6.2630 alpha=90.00 beta=90.00 gamma=90.00
Element x y z (fractional)
Al  0.5000  0.0000  0.0000
Al  0.0000  0.5000  0.0000
Tl  0.5000  0.5000  0.5000
Cs  0.0000  0.0000  0.5000
Na  0.0000  0.0000  0.0000

Calculated values
- Mass density: 3.497 g/cm3
- Fermi-level density of states: 4.7 states/eV/cell
- Electronic total energy: -1.660 eV per atom
- Formation energy: 0.745 eV/atom

Density functional theory data (PBE) for CsNbAl2 after structural relaxation.

Unit cell a=5.1214 b=5.1214 c=5.1214 alpha=60.00 beta=60.00 gamma=60.00
Element x y z (fractional)
Nb  0.0000  0.0000  0.0000
Cs  0.5000  0.5000  0.5000
Al  0.7500  0.7500  0.7500
Al  0.2500  0.2500  0.2500

Calculated values
- Mass density: 4.891 g/cm3
- Fermi-level density of states: 4.2 states/eV/cell
- Electronic total energy: -3.442 eV per atom
- Formation energy: 1.161 eV/atom

Density functional theory data (PBE) for Cs2Nb2Al after structural relaxation.

Unit cell a=7.0125 b=7.0125 c=6.5683 alpha=90.00 beta=90.00 gamma=90.00
Element x y z (fractional)
Nb  0.8844  0.6156  0.0000
Nb  0.3844  0.8844  0.0000
Nb  0.1156  0.3844  0.0000
Nb  0.6156  0.1156  0.0000
Cs  0.2281  0.7281  0.5000
Cs  0.7281  0.7719  0.5000
Cs  0.2719  0.2281  0.5000
Cs  0.7719  0.2719  0.5000
Al  0.5000  0.5000  0.0000
Al  0.0000  0.0000  0.0000

Calculated values
- E above lowest polymorph: 0.0 meV/atom
- Mass density: 4.921 g/cm3
- Fermi-level density of states: 10.6 states/eV/cell
- Electronic total energy: -4.034 eV per atom
- Formation energy: 1.084 eV/atom

Density functional theory data (PBE) for Cs2Nb2Al after structural relaxation.

Unit cell a=4.4210 b=4.4210 c=9.1286 alpha=75.99 beta=75.99 gamma=90.00
Element x y z (fractional)
Nb  0.5628  0.5628  0.8743
Nb  0.4372  0.4372  0.1257
Cs  0.7500  0.2500  0.5000
Cs  0.2500  0.7500  0.5000
Al  0.0000  0.0000  0.0000

Calculated values
- E above lowest polymorph: 294.1 meV/atom
- Mass density: 4.741 g/cm3
- Fermi-level density of states: 4.8 states/eV/cell
- Electronic total energy: -3.740 eV per atom
- Formation energy: 1.378 eV/atom

Density functional theory data (PBE) for Cs4Nd3AlO8 after structural relaxation.

Unit cell a=7.0446 b=7.9872 c=7.3247 alpha=115.45 beta=118.74 gamma=90.00
Element x y z (fractional)
Al  0.0000  0.5000  0.0000
O  0.2302  0.3600  0.0568
O  0.7698  0.6400  0.9432
O  0.8266  0.3600  0.0568
O  0.7388  0.2953  0.4776
O  0.2865  0.3302  0.5730
O  0.1734  0.6400  0.9432
O  0.2612  0.7047  0.5224
O  0.7135  0.6698  0.4270
Cs  0.5000  0.0000  0.5000
Cs  0.0000  0.0000  0.5000
Cs  0.5000  0.0000  0.0000
Cs  0.0000  0.0000  0.0000
Nd  0.5000  0.5000  0.0000
Nd  0.0000  0.5000  0.5000
Nd  0.5000  0.5000  0.5000

Calculated values
- Mass density: 5.901 g/cm3
- Formation energy from raw total energies: -2.2861 eV/atom
- Fermi-level density of states: 0.0 states/eV/cell
- Electronic total energy: -6.106 eV per atom